Compound: TcHgGe3
Source: Alexandria
Functional: PBEsol
Structure: relaxed

Excess energy over the best structure of this formula in the dataset   0 meV/atom
Crystal system   cubic
DFT total energy   -25.61 eV per formula unit

Cell and atoms, written as CIF:
```
data_TcHgGe3
_chemical_formula_sum 'Tc1 Hg1 Ge3'
_cell_length_a 4.7863
_cell_length_b 4.7863
_cell_length_c 4.7863
_cell_angle_alpha 90.00
_cell_angle_beta 90.00
_cell_angle_gamma 90.00
_symmetry_space_group_name_H-M 'P m -3 m'
_symmetry_Int_Tables_number 221
_symmetry_space_group_name_Hall '-P 4 2 3'
loop_
_atom_site_label
_atom_site_type_symbol
_atom_site_fract_x
_atom_site_fract_y
_atom_site_fract_z
Tc1 Tc 0.0000 0.0000 0.0000
Hg1 Hg 0.5000 0.5000 0.5000
Ge1 Ge 0.0000 0.0000 0.5000
```